The following is a DFT calculation (PBE-GGA) of Pm3Pr2Sm7 after structural relaxation.

**Density of states at the Fermi level**: 18.4 states/eV/f.u.
**Distance to the lowest polymorph of the same formula**: 0.000 eV per atom
**Formation enthalpy at 0 K**: 0.9 eV/f.u.
**E_tot**: -4.67 eV/atom

The structure in extended XYZ format:
```
12
Lattice="-0.668 -3.465 0.678 5.116 -0.209 3.976 -6.824 4.536 16.446" Properties=species:S:1:pos:R:3 pbc="T T T"
Pm 2.224 -1.837 2.327
Pm -1.747 1.517 6.030
Pm 0.039 2.810 14.392
Pr 0.562 -0.369 8.185
Pr -2.938 1.232 12.915
Sm -2.511 0.489 9.540
Sm 0.134 0.374 11.560
Sm 1.751 0.629 4.937
Sm 0.000 0.000 0.000
Sm -3.459 3.699 15.485
Sm -1.213 1.853 17.787
Sm -1.163 -0.990 3.314
```